BaNdAuS3: optimized geometry, PBE-GGA.

Raw total energy ... -31.6 eV/f.u.

Unit cell a=8.127 b=4.166 c=9.846 alpha=90.00 beta=105.92 gamma=90.00
Fractional positions:
Ba 0.243 0.250 0.283
Ba 0.757 0.750 0.717
Nd 0.308 0.750 0.843
Nd 0.692 0.250 0.157
Au 0.120 0.250 0.596
Au 0.880 0.750 0.404
S 0.066 0.250 0.838
S 0.277 0.750 0.544
S 0.441 0.750 0.141
S 0.559 0.250 0.859
S 0.723 0.250 0.456
S 0.934 0.750 0.162